Below is crystalline TeMo3 at its relaxed geometry, with properties calculated at the GGA-PBEsol level.

The value obtained for the formation energy (no corrections) is 27 kJ per mole of atoms. Its relative energy among the computed polymorphs is 0 meV/atom. For the total magnetic moment, the calculation gives 0.0 μB/f.u.

The space group is Immm (No. 71) and the conventional cell measures 3.299, 4.327 and 9.092 Å, with angles of 90.00, 90.00 and 90.00 degrees. The distinct sites, in fractional coordinates, are Te at (0.000, 0.000, 0.000), Mo at (0.000, 0.000, 0.500) and Mo at (0.000, 0.500, 0.251).